# MgAlHg PBE relaxed
data_MgAlHg
_symmetry_space_group_name_H-M 'F -4 3 m'
_symmetry_Int_Tables_number 216
_symmetry_space_group_name_Hall 'F -4 2 3'
_cell_length_a 6.4419
_cell_length_b 6.4419
_cell_length_c 6.4419
_cell_angle_alpha 90.00
_cell_angle_beta 90.00
_cell_angle_gamma 90.00
loop_
_atom_site_label
_atom_site_fract_x
_atom_site_fract_y
_atom_site_fract_z
_atom_site_occupancy
Mg1 0.0000 0.0000 0.0000 1
Al1 0.0000 0.0000 0.5000 1
Hg1 0.2500 0.2500 0.2500 1
# formation energy = -40 meV per atom
# Fermi-level density of states = 1.68 states/eV/f.u.